[1]
# MnMo2Au PBE relaxed
# - Uncorrected energy: -8.262 eV/atom
# - Total moment: 0.6536 μB per atom
# - Theoretical density: 11.83 g cm⁻³
# - Energy above the lowest structure with this stoichiometry: 99.2 meV/atom
data_MnMo2Au
_symmetry_space_group_name_H-M 'I m m 2'
_symmetry_Int_Tables_number 44
_cell_length_a 4.015
_cell_length_b 4.039
_cell_length_c 7.681
_cell_angle_alpha 90.00
_cell_angle_beta 90.00
_cell_angle_gamma 90.00
loop_
_symmetry_equiv_pos_as_xyz
'x,y,z'
'-x,-y,z'
'-x,y,z'
'x,-y,z'
'x+1/2,y+1/2,z+1/2'
'-x+1/2,-y+1/2,z+1/2'
'-x+1/2,y+1/2,z+1/2'
'x+1/2,-y+1/2,z+1/2'
loop_
_atom_site_label
_atom_site_fract_x
_atom_site_fract_y
_atom_site_fract_z
Mn1 0.000 0.000 0.000
Mo1 0.000 0.000 0.501
Mo2 0.000 0.500 0.251
Au1 0.000 0.500 0.750

[2]
# SrInTc2 PBE relaxed
# - Uncorrected energy: -5.735 eV/atom
# - Total moment: 0.0000 μB per atom
# - Theoretical density: 6.35 g cm⁻³
data_SrInTc2
_symmetry_space_group_name_H-M 'P 1 2/m 1'
_symmetry_Int_Tables_number 10
_cell_length_a 3.562
_cell_length_b 5.065
_cell_length_c 5.818
_cell_angle_alpha 90.00
_cell_angle_beta 96.79
_cell_angle_gamma 90.00
loop_
_symmetry_equiv_pos_as_xyz
'x,y,z'
'-x,-y,-z'
'-x,y,-z'
'x,-y,z'
loop_
_atom_site_label
_atom_site_fract_x
_atom_site_fract_y
_atom_site_fract_z
Sr1 0.000 0.000 0.000
In1 0.500 0.000 0.500
Tc1 0.278 0.500 0.630

[3]
# La12HoTh7 PBE relaxed
# - Uncorrected energy: -4.991 eV/atom
# - Total moment: 0.0814 μB per atom
# - Theoretical density: 7.10 g cm⁻³
data_La12HoTh7
_symmetry_space_group_name_H-M 'I m -3'
_symmetry_Int_Tables_number 204
_symmetry_space_group_name_Hall '-I 2 2 3'
_cell_length_a 11.734
_cell_length_b 11.734
_cell_length_c 11.734
_cell_angle_alpha 90.00
_cell_angle_beta 90.00
_cell_angle_gamma 90.00
loop_
_atom_site_label
_atom_site_fract_x
_atom_site_fract_y
_atom_site_fract_z
La1 0.000 0.218 0.308
Ho1 0.000 0.000 0.000
Th1 0.000 0.000 0.500
Th2 0.250 0.250 0.250

[4]
# UCdPd PBE relaxed
# - Uncorrected energy: -5.855 eV/atom
# - Total moment: 0.7671 μB per atom
# - Theoretical density: 12.79 g cm⁻³
data_UCdPd
_symmetry_space_group_name_H-M 'P 3 m 1'
_symmetry_Int_Tables_number 156
_cell_length_a 2.9938
_cell_length_b 2.9938
_cell_length_c 7.6422
_cell_angle_alpha 90.00
_cell_angle_beta 90.00
_cell_angle_gamma 120.00
loop_
_symmetry_equiv_pos_as_xyz
'x,y,z'
'-y,x-y,z'
'-x+y,-x,z'
'-y,-x,z'
'-x+y,y,z'
'x,x-y,z'
loop_
_atom_site_label
_atom_site_fract_x
_atom_site_fract_y
_atom_site_fract_z
U1 0.0000 0.0000 0.0000
Cd1 0.3333 0.6667 0.6253
Pd1 0.6667 0.3333 0.3235

[5]
# ReRu2Pb PBE relaxed
# - Uncorrected energy: -8.072 eV/atom
# - Total moment: 0.0002 μB per atom
# - Theoretical density: 14.76 g cm⁻³
data_ReRu2Pb
_symmetry_space_group_name_H-M 'C 1 2/m 1'
_symmetry_Int_Tables_number 12
_cell_length_a 9.033
_cell_length_b 2.911
_cell_length_c 5.161
_cell_angle_alpha 90.00
_cell_angle_beta 99.05
_cell_angle_gamma 90.00
loop_
_symmetry_equiv_pos_as_xyz
'x,y,z'
'-x,-y,-z'
'-x,y,-z'
'x,-y,z'
'x+1/2,y+1/2,z'
'-x+1/2,-y+1/2,-z'
'-x+1/2,y+1/2,-z'
'x+1/2,-y+1/2,z'
loop_
_atom_site_label
_atom_site_fract_x
_atom_site_fract_y
_atom_site_fract_z
Re1 0.000 0.000 0.000
Ru1 0.242 0.500 0.211
Pb1 0.000 0.500 0.500

[6]
# Ac2NiAs4Ir3 PBE relaxed
# - Uncorrected energy: -6.666 eV/atom
# - Total moment: 0.0000 μB per atom
# - Theoretical density: 11.75 g cm⁻³
data_Ac2NiAs4Ir3
_symmetry_space_group_name_H-M 'P -4 m 2'
_symmetry_Int_Tables_number 115
_cell_length_a 4.455
_cell_length_b 4.455
_cell_length_c 9.890
_cell_angle_alpha 90.00
_cell_angle_beta 90.00
_cell_angle_gamma 90.00
loop_
_symmetry_equiv_pos_as_xyz
'x,y,z'
'y,-x,-z'
'-x,-y,z'
'-y,x,-z'
'-x,y,z'
'-y,-x,-z'
'x,-y,z'
'y,x,-z'
loop_
_atom_site_label
_atom_site_fract_x
_atom_site_fract_y
_atom_site_fract_z
Ac1 0.000 0.500 0.249
Ni1 0.500 0.500 0.000
As1 0.000 0.000 0.500
As2 0.000 0.500 0.873
As3 0.500 0.500 0.500
Ir1 0.000 0.000 0.000
Ir2 0.000 0.500 0.616

[7]
# Na2Tm2Hg7 PBE relaxed
# - Uncorrected energy: -1.268 eV/atom
# - Total moment: 0.0000 μB per atom
# - Theoretical density: 9.47 g cm⁻³
data_Na2Tm2Hg7
_symmetry_space_group_name_H-M 'C m m m'
_symmetry_Int_Tables_number 65
_symmetry_space_group_name_Hall '-C 2 2'
_cell_length_a 9.724
_cell_length_b 10.937
_cell_length_c 5.895
_cell_angle_alpha 90.00
_cell_angle_beta 90.00
_cell_angle_gamma 90.00
loop_
_atom_site_label
_atom_site_fract_x
_atom_site_fract_y
_atom_site_fract_z
Na1 0.000 0.237 0.000
Tm1 0.189 0.500 0.500
Hg1 0.000 0.000 0.256
Hg2 0.000 0.500 0.000
Hg3 0.250 0.250 0.255

[8]
# CePm4PrSe8 PBE relaxed
# - Uncorrected energy: -5.833 eV/atom
# - Total moment: 0.1259 μB per atom
# - Theoretical density: 5.35 g cm⁻³
# - ΔE_f (raw): -24.068 eV/f.u.
data_CePm4PrSe8
_symmetry_space_group_name_H-M 'R 3 m'
_symmetry_Int_Tables_number 160
_symmetry_space_group_name_Hall 'R 3 -2"'
_cell_length_a 8.6703
_cell_length_b 8.6703
_cell_length_c 21.3341
_cell_angle_alpha 90.00
_cell_angle_beta 90.00
_cell_angle_gamma 120.00
loop_
_atom_site_label
_atom_site_fract_x
_atom_site_fract_y
_atom_site_fract_z
Ce1 0.0000 0.0000 0.0000
Pm1 0.0000 0.0000 0.3745
Pm2 0.1673 0.3347 0.8326
Pr1 0.0000 0.0000 0.6244
Se1 0.0000 0.0000 0.2423
Se2 0.0000 0.0000 0.7583
Se3 0.0180 0.5090 0.7528
Se4 0.1781 0.3561 0.5791

theoretical density of number 7 (Na2Tm2Hg7)?
9.47 g cm⁻³

Which of these has the lowest theoretical density?
CePm4PrSe8

Which formula does entry 3 have?
La12HoTh7

Which value of theoretical density does entry 2 give?
6.35 g cm⁻³